1.
# CrNiPb

Crystalline CrNiPb at its relaxed geometry (PBEsol, the Alexandria database).

POSCAR file:
```
CrNiPb
1.0
0.000 2.959 2.959
2.959 0.000 2.959
2.959 2.959 0.000
Cr Ni Pb
1 1 1
direct
0.000 0.000 0.000
0.750 0.750 0.750
0.500 0.500 0.500
```

Results
D(E_F) (states/eV/cell): 4.5
M_tot (Bohr magnetons per cell): 2.72
SG: F-43m (216)
Energy of formation from the pure elements (meV/atom): 469

---

2.
# CrNiPb2

Crystalline CrNiPb2 at its relaxed geometry (PBEsol, the Alexandria database).

POSCAR file:
```
CrNiPb2
1.0
3.185 0.000 0.000
0.000 3.185 0.000
0.000 0.000 7.952
Cr Ni Pb
1 1 2
direct
0.000 0.000 0.000
0.500 0.500 0.135
0.000 0.000 0.366
0.500 0.500 0.755
```

Results
D(E_F) (states/eV/cell): 4.2
Energy above the lowest structure with this stoichiometry (kcal/mol of atoms): 0.00
M_tot (Bohr magnetons per cell): 2.96
SG: P4mm (99)
Energy of formation from the pure elements (meV/atom): 369

---

3.
# CrNi3Pd

Crystalline CrNi3Pd at its relaxed geometry (PBEsol, the Alexandria database).

POSCAR file:
```
CrNi3Pd
1.0
4.443 0.000 0.000
0.000 4.443 0.000
0.000 0.000 4.443
Cr Ni Pd
1 3 1
direct
0.000 0.000 0.000
0.000 0.500 0.500
0.500 0.000 0.500
0.500 0.500 0.000
0.500 0.500 0.500
```

Results
D(E_F) (states/eV/cell): 10.5
M_tot (Bohr magnetons per cell): 7.25
SG: Pm-3m (221)
Energy of formation from the pure elements (meV/atom): 1540

---

4.
# Tl2CrNiPd

Crystalline Tl2CrNiPd at its relaxed geometry (PBEsol, the Alexandria database).

POSCAR file:
```
Tl2CrNiPd
1.0
4.781 0.000 0.000
0.000 4.781 0.000
0.000 0.000 4.763
Tl Cr Ni Pd
2 1 1 1
direct
0.000 0.500 0.000
0.500 0.000 0.000
0.000 0.000 0.500
0.500 0.500 0.000
0.500 0.500 0.500
```

Results
D(E_F) (states/eV/cell): 4.6
M_tot (Bohr magnetons per cell): 4.58
SG: P4/mmm (123)
Energy of formation from the pure elements (meV/atom): 802

---

What did the fourth record say?
# Tl2CrNiPd

Crystalline Tl2CrNiPd at its relaxed geometry (PBEsol, the Alexandria database).

POSCAR file:
```
Tl2CrNiPd
1.0
4.781 0.000 0.000
0.000 4.781 0.000
0.000 0.000 4.763
Tl Cr Ni Pd
2 1 1 1
direct
0.000 0.500 0.000
0.500 0.000 0.000
0.000 0.000 0.500
0.500 0.500 0.000
0.500 0.500 0.500
```

Results
D(E_F) (states/eV/cell): 4.6
M_tot (Bohr magnetons per cell): 4.58
SG: P4/mmm (123)
Energy of formation from the pure elements (meV/atom): 802

---

Among the records above, which one has the lowest energy of formation from the pure elements? CrNiPb2